Density functional theory data (PBE with a Hubbard U) for crystalline Cs2NaCoF6 at its relaxed geometry. Values from VASP.

Computed properties:
Crystal system: trigonal
Total energy in eV per atom: -4.4402
Magnetization in μB/cell: 8.00
Space-group type: R-3m, No. 166

Cell and atoms, written as Quantum ESPRESSO input:
```
&SYSTEM
  ibrav = 0, nat = 20, ntyp = 4
/
ATOMIC_SPECIES
Cs 132.91 Cs.upf
Na 22.99 Na.upf
Co 58.93 Co.upf
F 19.00 F.upf
ATOMIC_POSITIONS crystal
Cs 0.128 0.128 0.128
Cs 0.283 0.283 0.283
Cs 0.717 0.717 0.717
Cs 0.872 0.872 0.872
Na 0.403 0.403 0.403
Na 0.597 0.597 0.597
Co 0.000 0.000 0.000
Co 0.500 0.500 0.500
F 0.178 0.604 0.604
F 0.183 0.183 0.740
F 0.183 0.740 0.183
F 0.260 0.817 0.817
F 0.396 0.396 0.822
F 0.396 0.822 0.396
F 0.604 0.178 0.604
F 0.604 0.604 0.178
F 0.740 0.183 0.183
F 0.817 0.260 0.817
F 0.817 0.817 0.260
F 0.822 0.396 0.396
CELL_PARAMETERS angstrom
3.164 1.827 10.239
-3.164 1.827 10.239
0.000 -3.654 10.239
```